(1)
Entry from the Alexandria database: Sc3TaBr at its PBEsol-relaxed geometry (SCAN).

The calculated volume is 27.56 Å³/atom. The calculation puts the density of states at the Fermi level at 5.96 states/eV/f.u. Its symmetry is Pm-3m (221). The uncorrected formation energy comes out at 0.611 eV/atom. Its size of the total moment is 0.00 μB/f.u. Its total energy is -25.140 eV/atom.

abc: 5.165 5.165 5.165
angles: 90.00 90.00 90.00
Fractional positions:
Sc  0.000  0.000  0.500
Sc  0.000  0.500  0.000
Sc  0.500  0.000  0.000
Ta  0.000  0.000  0.000
Br  0.500  0.500  0.500


(2)
Entry from the Alexandria database: Re2HgOs at its PBEsol-relaxed geometry (SCAN).

The calculated volume is 15.51 Å³/atom. The calculation puts the density of states at the Fermi level at 3.53 states/eV/f.u. The value obtained for the formation energy is 656 meV/atom. Its symmetry is C2/m (12). Its size of the total moment is 0.00 μB/f.u. Its total energy is -69.904 eV/atom.

abc: 4.886 4.886 4.793
angles: 100.43 100.43 33.51
Fractional positions:
Re  0.237  0.237  0.225
Re  0.763  0.763  0.775
Hg  0.000  0.000  0.500
Os  0.500  0.500  0.000